#1
First-principles (GGA-PBE) data for a geometry-optimized PmTmSi structure, as listed in Alexandria via LeMat-Bulk.

abc: 4.6685 4.6685 4.2107
angles: 90.00 90.00 120.00
Atoms (fractional coordinates):
Pm  0.0000  0.0000  0.0000
Tm  0.3333  0.6667  0.4746
Si  0.6667  0.3333  0.6263

Results
* magnetic moment: 0.00 μB per formula unit


#2
First-principles (GGA-PBE) data for a geometry-optimized PmTmSi structure, as listed in Alexandria via LeMat-Bulk.

abc: 4.8800 4.8800 4.8800
angles: 60.00 60.00 60.00
Atoms (fractional coordinates):
Pm  0.0000  0.0000  0.0000
Tm  0.5000  0.5000  0.5000
Si  0.2500  0.2500  0.2500

Results
* magnetic moment: 0.00 μB per formula unit


Which structure is most stable? #2, by 12.2 kJ/mol of atoms over the runner-up.


#1
First-principles (GGA-PBE) data for a geometry-optimized PmTmSi structure, as listed in Alexandria via LeMat-Bulk.

abc: 6.9057 6.9057 6.3893
angles: 117.49 117.49 36.42
Atoms (fractional coordinates):
Pm  0.2067  0.2067  0.2064
Pm  0.7933  0.7933  0.7936
Tm  0.5000  0.5000  0.2581
Tm  0.5000  0.5000  0.7419
Si  0.1156  0.1156  0.6152
Si  0.8844  0.8844  0.3848

Results
* magnetic moment: 0.00 μB per formula unit


#2
First-principles (GGA-PBE) data for a geometry-optimized PmTmSi structure, as listed in Alexandria via LeMat-Bulk.

abc: 6.1137 6.1137 8.1223
angles: 124.33 124.33 40.50
Atoms (fractional coordinates):
Pm  0.0850  0.0850  0.3580
Pm  0.9150  0.9150  0.6420
Tm  0.3221  0.3221  0.9223
Tm  0.6779  0.6779  0.0777
Si  0.3774  0.3774  0.3370
Si  0.6226  0.6226  0.6630

Results
* magnetic moment: 0.00 μB per formula unit


#3
First-principles (GGA-PBE) data for a geometry-optimized PmTmSi structure, as listed in Alexandria via LeMat-Bulk.

abc: 7.8788 7.8788 4.2545
angles: 90.00 90.00 120.00
Atoms (fractional coordinates):
Pm  0.0000  0.5963  0.0000
Pm  0.4037  0.4037  0.0000
Pm  0.5963  0.0000  0.0000
Tm  0.0000  0.2601  0.5000
Tm  0.2601  0.0000  0.5000
Tm  0.7399  0.7399  0.5000
Si  0.0000  0.0000  0.0000
Si  0.3333  0.6667  0.5000
Si  0.6667  0.3333  0.5000

Results
* magnetic moment: 0.60 μB per formula unit


Which structure is most stable? #3, by 3.3 kJ/mol of atoms over the runner-up.


#1
First-principles (GGA-PBE) data for a geometry-optimized PmTm2Si structure, as listed in Alexandria via LeMat-Bulk.

abc: 6.1794 6.1794 6.1794
angles: 45.28 45.28 45.28
Atoms (fractional coordinates):
Pm  0.0000  0.0000  0.0000
Tm  0.2235  0.2235  0.2235
Tm  0.7765  0.7765  0.7765
Si  0.5000  0.5000  0.5000

Results
* magnetic moment: 0.00 μB per formula unit


#2
First-principles (GGA-PBE) data for a geometry-optimized PmTm2Si structure, as listed in Alexandria via LeMat-Bulk.

abc: 4.6393 4.6393 4.6285
angles: 90.00 90.00 90.00
Atoms (fractional coordinates):
Pm  0.0000  0.0000  0.0000
Tm  0.0000  0.5000  0.5000
Tm  0.5000  0.0000  0.5000
Si  0.5000  0.5000  0.0000

Results
* magnetic moment: 0.00 μB per formula unit


Which structure is most stable? #2, by 23.0 kJ/mol of atoms over the runner-up.